CeSi2Au4 | PBE-GGA | relaxed

The structure in POSCAR format:
```
CeSi2Au4
1.0
-5.906 2.998 2.886
4.313 -5.795 0.126
2.481 1.914 3.089
Ce Si Au
1 2 4
Cartesian
0.000 0.000 0.000
-0.430 0.311 3.287
1.318 -1.194 2.815
3.780 -3.312 2.150
0.979 -2.926 1.027
-2.892 2.429 3.952
-2.572 0.129 1.986
```

Calculated values
Its total magnetization is 0.67 μB per formula unit. As for the symmetry: Cmmm.



Ce4Si5Au2 | PBE-GGA | relaxed

The structure in POSCAR format:
```
Ce4Si5Au2
1.0
4.103 0.000 0.000
0.000 6.734 -0.082
0.000 -0.766 8.614
Ce Si Au
4 5 2
Cartesian
2.052 4.278 4.847
2.052 0.700 7.736
2.052 1.690 3.685
2.052 5.268 0.796
0.000 3.515 2.487
0.000 1.183 1.346
0.000 3.367 -0.041
0.000 4.785 7.186
0.000 2.453 6.044
0.000 -0.051 5.613
0.000 6.019 2.919
```

Calculated values
Its total magnetization is 0.89 μB per formula unit. As for the symmetry: P2/m.



Ce5SiAu | PBE-GGA | relaxed

The structure in POSCAR format:
```
Ce5SiAu
1.0
-0.358 5.549 4.727
-5.014 1.946 -4.933
-3.360 -5.432 3.646
Ce Si Au
10 2 2
Cartesian
-4.045 5.421 1.512
-4.226 0.156 -0.508
-6.838 1.843 1.025
-2.149 3.455 3.665
-4.574 3.270 -1.502
-4.158 -1.207 4.941
-6.583 -1.392 -0.226
-1.894 0.220 2.415
-4.505 1.907 3.947
-4.687 -3.358 1.928
-3.381 2.501 1.108
-5.350 -0.438 2.332
0.000 0.000 0.000
-1.680 -2.716 1.823
```

Calculated values
Its total magnetization is 1.86 μB per formula unit. As for the symmetry: C2/c.



CeSi2Au | PBE-GGA | relaxed

The structure in POSCAR format:
```
CeSi2Au
1.0
3.188 0.000 0.000
0.000 5.060 0.185
0.000 -1.490 4.839
Ce Si Au
1 2 1
Cartesian
0.000 -1.415 4.785
1.594 -0.193 2.446
1.594 1.197 4.401
1.594 2.409 2.069
```

Calculated values
Its total magnetization is 0.17 μB per formula unit. As for the symmetry: Amm2.



Ce5Si2Au2 | PBE-GGA | relaxed

The structure in POSCAR format:
```
Ce5Si2Au2
1.0
7.125 0.000 2.586
0.000 7.579 0.000
0.861 0.000 8.734
Ce Si Au
10 4 4
Cartesian
0.000 0.000 0.000
3.562 3.790 1.293
3.810 1.355 7.605
6.449 6.224 8.563
2.887 5.145 7.270
7.372 2.435 8.898
4.177 6.224 3.716
1.537 1.355 2.758
5.100 2.435 4.051
0.614 5.145 2.422
0.809 2.917 0.294
6.316 4.662 2.293
2.753 6.707 0.999
4.372 0.872 1.587
2.035 0.000 5.500
5.598 3.790 6.794
5.951 0.000 5.820
2.389 3.790 4.527
```

Calculated values
Its total magnetization is 4.30 μB per formula unit. As for the symmetry: Cmce.



CeSi2Au4 | PBE-GGA | relaxed

The structure in POSCAR format:
```
CeSi2Au4
1.0
4.393 0.000 0.000
0.000 4.393 0.000
0.000 0.000 27.655
Ce Si Au
4 8 16
Cartesian
0.000 2.196 20.741
2.196 0.000 6.914
2.196 2.196 0.000
2.196 2.196 13.828
0.000 0.000 26.480
0.000 0.000 12.652
2.196 0.000 21.917
2.196 0.000 19.566
0.000 2.196 5.739
0.000 2.196 8.090
0.000 0.000 1.175
0.000 0.000 15.003
2.196 0.000 2.404
2.196 2.196 18.337
2.196 2.196 23.144
0.000 2.196 2.398
2.196 0.000 25.257
0.000 0.000 18.338
0.000 2.196 11.430
2.196 2.196 9.318
2.196 0.000 11.424
0.000 0.000 9.317
0.000 0.000 4.511
2.196 0.000 16.226
0.000 0.000 23.144
2.196 2.196 4.511
0.000 2.196 16.231
0.000 2.196 25.251
```

Calculated values
Its total magnetization is 0.74 μB per formula unit. As for the symmetry: P4_2/mmc.



Ce2Si3Au | PBE-GGA | relaxed

The structure in POSCAR format:
```
Ce2Si3Au
1.0
-2.056 -2.884 4.767
1.662 -5.220 -2.293
6.600 4.704 1.919
Ce Si Au
4 6 2
Cartesian
4.032 -2.284 0.432
-0.299 -6.141 1.875
2.173 -1.116 3.961
-0.096 -1.963 0.599
1.798 -4.543 -0.051
6.307 -0.051 0.837
4.407 1.142 4.444
-0.101 -3.349 3.556
2.096 0.213 1.033
4.110 -3.614 3.360
1.920 -3.837 2.281
4.285 0.436 2.112
```

Calculated values
Its total magnetization is 1.55 μB per formula unit. As for the symmetry: Fmmm.



Ce3Si2Au | PBE-GGA | relaxed

The structure in POSCAR format:
```
Ce3Si2Au
1.0
6.301 0.000 -3.361
0.000 10.807 0.000
-1.343 0.000 9.319
Ce Si Au
12 8 4
Cartesian
1.555 10.264 -0.623
0.924 4.861 3.602
3.403 0.542 6.581
4.033 5.946 2.356
1.453 5.160 -0.005
1.025 10.564 2.984
3.504 5.646 5.963
3.932 0.243 2.974
4.438 7.683 -1.469
4.341 2.279 1.087
0.519 3.124 7.427
0.616 8.527 4.871
4.508 10.281 0.045
4.271 4.878 -0.427
0.449 0.525 5.913
0.686 5.929 6.385
1.155 7.382 2.125
1.324 1.979 0.854
3.802 3.424 3.833
3.634 8.828 5.104
3.148 8.550 1.271
5.632 3.147 -1.653
1.810 2.257 4.687
-0.674 7.660 7.611
```

Calculated values
Its total magnetization is 2.11 μB per formula unit. As for the symmetry: P2_1/c.



CeSmSiAu | PBE-GGA | relaxed

The structure in POSCAR format:
```
CeSmSiAu
1.0
5.172 0.000 0.000
2.586 4.479 0.000
2.586 1.493 4.223
Si Au Ce Sm
1 1 1 1
Cartesian
7.757 4.479 3.167
2.586 1.493 1.056
0.000 0.000 0.000
5.172 2.986 2.111
```

Calculated values
Its total magnetization is 1.81 μB per formula unit. As for the symmetry: F-43m.



Sr2CeSi3Au12 | PBE-GGA | relaxed

The structure in POSCAR format:
```
Sr2CeSi3Au12
1.0
-6.060 -4.675 3.288
2.545 -6.889 3.930
-0.563 0.219 8.308
Sr Ce Si Au
2 1 3 12
Cartesian
-2.434 -6.774 9.270
-1.643 -4.572 6.256
0.000 0.000 0.000
-3.030 -2.337 1.644
1.273 -3.445 1.965
-0.282 0.110 4.154
-1.587 -3.432 9.435
-3.243 -9.823 9.582
-0.777 -7.628 11.834
-4.612 -6.126 6.672
-4.637 -6.634 11.546
0.124 -7.345 7.026
-2.491 -7.913 6.091
-0.835 -1.522 5.944
-3.301 -3.717 3.692
0.535 -5.219 8.854
0.560 -4.711 3.980
-4.201 -4.000 8.501
```

Calculated values
Its total magnetization is 0.99 μB per formula unit. As for the symmetry: R-3m.



CeTl2Si2Au7 | PBE-GGA | relaxed

The structure in POSCAR format:
```
CeTl2Si2Au7
1.0
-0.395 -4.089 2.648
2.765 -2.436 -3.211
10.220 1.143 5.835
Ce Tl Si Au
1 2 2 7
Cartesian
0.000 0.000 0.000
6.063 -5.295 1.776
6.527 -0.087 3.496
9.650 -3.512 4.214
2.940 -1.870 1.058
1.185 -3.263 -0.281
5.096 -2.413 2.068
7.494 -2.970 3.205
2.679 -4.391 1.897
4.010 -3.695 -0.571
8.580 -1.688 5.843
9.911 -0.991 3.375
```

Calculated values
Its total magnetization is 1.11 μB per formula unit. As for the symmetry: C2/m.



CeYSiAu | PBE-GGA | relaxed

The structure in POSCAR format:
```
CeYSiAu
1.0
-0.566 1.178 4.954
-1.158 -3.664 3.389
3.500 -1.532 3.413
Y Si Au Ce
1 1 1 1
Cartesian
0.000 0.000 0.000
1.332 -3.013 8.817
0.444 -1.004 2.939
0.888 -2.009 5.878
```

Calculated values
Its total magnetization is 1.58 μB per formula unit. As for the symmetry: F-43m.



| no. | E (eV/atom) |
| --- | --- |
| 1 | -4.72 |
| 2 | -5.76 |
| 3 | -5.70 |
| 4 | -5.37 |
| 5 | -5.81 |
| 6 | -4.72 |
| 7 | -5.96 |
| 8 | -5.78 |
| 9 | -5.40 |
| 10 | -3.79 |
| 11 | -3.91 |
| 12 | -5.86 |